An optimized crystal structure of Hf2Ni2Au. Source: the Alexandria database, functional GGA-PBEsol.

Cell and atoms, written as extended XYZ:
```
10
Lattice="3.237 0.000 0.000 0.000 6.912 0.000 0.000 0.000 6.912" Properties=species:S:1:pos:R:3 pbc="T T T"
Ni 0.000 6.049 4.319
Ni 0.000 0.863 2.593
Ni 0.000 4.319 0.863
Ni 0.000 2.593 6.049
Hf 1.618 2.265 1.191
Hf 1.618 4.647 5.721
Hf 1.618 5.721 2.265
Hf 1.618 1.191 4.647
Au 0.000 0.000 0.000
Au 0.000 3.456 3.456
```

Values from the calculation:
As for the space-group type: P4/mbm. The value obtained for the formation energy is -0.618 eV/atom.


An optimized crystal structure of HfNi2Au2. Source: the Alexandria database, functional GGA-PBEsol.

Cell and atoms, written as extended XYZ:
```
5
Lattice="-1.267 3.238 0.637 -3.295 -1.279 -0.055 2.602 -2.077 5.920" Properties=species:S:1:pos:R:3 pbc="T T T"
Ni -1.487 -1.188 3.078
Ni -0.473 1.071 3.424
Au 0.253 -0.863 4.887
Au -2.213 0.746 1.615
Hf 0.000 0.000 0.000
```

Values from the calculation:
As for the space-group type: I4/mmm. The value obtained for the formation energy is -0.099 eV/atom.


An optimized crystal structure of HfAuO2. Source: the Alexandria database, functional GGA-PBEsol.

Cell and atoms, written as extended XYZ:
```
4
Lattice="3.111 0.000 0.000 1.555 2.694 0.000 1.555 0.898 8.395" Properties=species:S:1:pos:R:3 pbc="T T T"
Au 0.000 0.000 0.000
O 4.666 2.694 3.192
O 1.555 0.898 5.203
Hf 3.111 1.796 4.198
```

Values from the calculation:
As for the space-group type: R-3m. The value obtained for the formation energy without anion corrections is -2174 meV per atom.


An optimized crystal structure of HfAuO2. Source: the Alexandria database, functional GGA-PBEsol.

Cell and atoms, written as extended XYZ:
```
4
Lattice="4.058 0.000 0.000 2.029 3.515 0.000 2.029 1.172 3.314" Properties=species:S:1:pos:R:3 pbc="T T T"
Au 4.058 2.343 1.657
O 2.029 1.172 0.828
O 6.088 3.515 2.485
Hf 0.000 0.000 0.000
```

Values from the calculation:
As for the space-group type: Fm-3m. The value obtained for the formation energy without anion corrections is -1040 meV per atom.


An optimized crystal structure of HfAu3O. Source: the Alexandria database, functional GGA-PBEsol.

Cell and atoms, written as extended XYZ:
```
5
Lattice="4.403 0.000 0.000 0.000 4.403 0.000 0.000 0.000 4.403" Properties=species:S:1:pos:R:3 pbc="T T T"
O 0.000 0.000 0.000
Au 2.202 0.000 0.000
Au 0.000 2.202 0.000
Au 0.000 0.000 2.202
Hf 2.202 2.202 2.202
```

Values from the calculation:
As for the space-group type: Pm-3m. The value obtained for the formation energy without anion corrections is 417 meV per atom. As for the offset from the most stable computed form: 0 kJ/mol of formula units.


An optimized crystal structure of HfAu3O. Source: the Alexandria database, functional GGA-PBEsol.

Cell and atoms, written as extended XYZ:
```
5
Lattice="-2.747 -3.577 2.451 1.507 -3.508 -3.431 4.065 -1.117 2.928" Properties=species:S:1:pos:R:3 pbc="T T T"
O 1.413 -4.101 0.974
Au 2.033 -0.558 1.464
Au 0.754 -1.754 -1.715
Au -1.374 -1.788 1.225
Hf 0.000 0.000 0.000
```

Values from the calculation:
As for the space-group type: Pm-3m. The value obtained for the formation energy without anion corrections is 1368 meV per atom. As for the offset from the most stable computed form: 459 kJ/mol of formula units.


What did we get for total DFT energy (no corrections)? Answer: -80.67 -31.16 -33.62 -29.08 -25.44 -20.68 eV per cell, in the order shown.